{"formula": "SrZn2Cl2", "functional": "PBE-GGA", "state": "relaxed", "lattice_angstrom": [[5.7917, 0.0000, 0.0000], [0.0000, 5.7917, 0.0000], [0.0000, 0.0000, 8.5309]], "species": ["Sr", "Sr", "Zn", "Zn", "Zn", "Zn", "Cl", "Cl", "Cl", "Cl"], "fractional_positions": [[0.0000, 0.0000, 0.0000], [0.5000, 0.5000, 0.5000], [0.0000, 0.0000, 0.3550], [0.0000, 0.0000, 0.6450], [0.5000, 0.5000, 0.1450], [0.5000, 0.5000, 0.8550], [0.0000, 0.5000, 0.2500], [0.0000, 0.5000, 0.7500], [0.5000, 0.0000, 0.2500], [0.5000, 0.0000, 0.7500]], "e_form_raw_ev_per_atom": -0.69, "dft_energy_ha_per_atom": -0.0835, "magnetic_moment_mub_per_cell": 0.00, "relative_energy_mev_per_atom": 0}